Record 1
Material: RbIn5Pb7
Method: DFT, PBE
State: optimized geometry

calculated formation energy = -2 kJ per mole of atoms
VASP energy = -40.83 eV/f.u.

Cell lengths 6.2978, 11.4232, 11.5755 Å; angles 90.00, 90.00, 90.00 degrees
Last column: nearest neighbours and their distance in Å.
Space group Imm2 (No. 44)
Unique sites:
Rb  0.0000  0.0000  0.0000 x2  10 Pb 4.02-4.16, 10 In 4.02-4.40
In  0.0000  0.5000  0.2840 x2  4 In 3.24, 4 Pb 3.54-3.55
In  0.2493  0.2540  0.2519 x8  3 In 3.14-3.24, 6 Pb 3.30-3.52
Pb  0.0000  0.0000  0.3593 x2  5 Pb 3.28-3.61, 4 In 3.53
Pb  0.0000  0.0000  0.6431 x2  3 Pb 3.28-3.61, 6 In 3.46-3.55
Pb  0.0000  0.2817  0.5012 x4  5 In 3.30-3.54, 5 Pb 3.53-3.61
Pb  0.0000  0.3573  0.0000 x4  4 Pb 3.26-3.60, 4 In 3.51-3.52
Pb  0.0000  0.5000  0.7230 x2  4 In 3.32, 6 Pb 3.52-3.60

=====

Record 2
Material: Y2AlGaCu6
Method: DFT, PBE
State: optimized geometry

calculated formation energy = 7 kJ per mole of atoms
VASP energy = -43.51 eV/f.u.

Cell lengths 6.4125, 6.4125, 9.0368 Å; angles 90.00, 90.00, 90.00 degrees
Last column: nearest neighbours and their distance in Å.
Space group I4/mmm (No. 139)
Unique sites:
Y  0.0000  0.5000  0.2500 x4  12 Cu 3.20-3.21
Al  0.0000  0.0000  0.0000 x2  6 Cu 2.26
Ga  0.0000  0.0000  0.5000 x2  6 Cu 2.26-2.27
Cu  0.0000  0.0000  0.2497 x4  1 Al 2.26, 1 Ga 2.26
Cu  0.2497  0.2497  0.0000 x8  1 Al 2.26, 1 Ga 2.27